(1)
VASP calculation (PBE) on an optimized crystal structure of Li2CrC.

Calculated values
- energy of formation from the pure elements (eV/atom) = 0.54

Geometry as CIF:
```
data_Li2CrC
_chemical_formula_sum 'Li4 Cr2 C2'
_symmetry_space_group_name_H-M 'P 1'
_symmetry_Int_Tables_number 1
_cell_length_a 7.668
_cell_length_b 7.668
_cell_length_c 5.763
_cell_angle_alpha 48.29
_cell_angle_beta 48.29
_cell_angle_gamma 90.00
loop_
_symmetry_equiv_pos_as_xyz
'x,y,z'
loop_
_atom_site_label
_atom_site_fract_x
_atom_site_fract_y
_atom_site_fract_z
_atom_site_occupancy
Cr1 0.000 0.000 0.000 1
Cr2 0.750 0.250 0.500 1
C1 0.500 0.500 0.000 1
C2 0.250 0.750 0.500 1
Li1 0.490 0.125 0.250 1
Li2 0.260 0.625 0.250 1
Li3 0.375 0.510 0.750 1
Li4 0.875 0.740 0.750 1
```


(2)
VASP calculation (PBE) on an optimized crystal structure of LiCr3C.

Calculated values
- distance to the lowest polymorph of the same formula (eV/f.u.) = 9.98
- energy of formation from the pure elements (eV/atom) = 2.34

Geometry as CIF:
```
data_LiCr3C
_chemical_formula_sum 'Li1 Cr3 C1'
_symmetry_space_group_name_H-M 'P 1'
_symmetry_Int_Tables_number 1
_cell_length_a 3.806
_cell_length_b 3.806
_cell_length_c 3.806
_cell_angle_alpha 90.00
_cell_angle_beta 90.00
_cell_angle_gamma 90.00
loop_
_symmetry_equiv_pos_as_xyz
'x,y,z'
loop_
_atom_site_label
_atom_site_fract_x
_atom_site_fract_y
_atom_site_fract_z
_atom_site_occupancy
Cr1 0.000 0.500 0.000 1
Cr2 0.000 0.000 0.500 1
Cr3 0.500 0.000 0.000 1
C1 0.500 0.500 0.500 1
Li1 0.000 0.000 0.000 1
```


(3)
VASP calculation (PBE) on an optimized crystal structure of LiCr3C.

Calculated values
- distance to the lowest polymorph of the same formula (eV/f.u.) = 0.00
- energy of formation from the pure elements (eV/atom) = 0.34

Geometry as CIF:
```
data_LiCr3C
_chemical_formula_sum 'Li1 Cr3 C1'
_symmetry_space_group_name_H-M 'P 1'
_symmetry_Int_Tables_number 1
_cell_length_a 3.849
_cell_length_b 3.849
_cell_length_c 3.849
_cell_angle_alpha 90.00
_cell_angle_beta 90.00
_cell_angle_gamma 90.00
loop_
_symmetry_equiv_pos_as_xyz
'x,y,z'
loop_
_atom_site_label
_atom_site_fract_x
_atom_site_fract_y
_atom_site_fract_z
_atom_site_occupancy
Cr1 0.000 0.500 0.000 1
Cr2 0.000 0.000 0.500 1
Cr3 0.500 0.000 0.000 1
C1 0.000 0.000 0.000 1
Li1 0.500 0.500 0.500 1
```


Number 1: final energy -5.12 eV per atom. Number 2: final energy -5.67 eV per atom. Number 3: final energy -7.66 eV per atom.